Density functional theory data (GGA-PBEsol) for a relaxed Te2HS crystal.

Values from the calculation:
Offset from the most stable computed form   59 meV per atom

Unit cell a=7.031 b=5.811 c=7.031 alpha=52.78 beta=90.00 gamma=127.22
Fractional positions:
Te1 0.375 0.250 0.178
Te2 0.875 0.250 0.572
Te3 0.178 0.750 0.875
Te4 0.572 0.750 0.375
H1 0.500 0.000 0.500
H2 0.250 0.500 0.250
S1 0.750 0.500 0.750
S2 0.000 0.000 0.000

Density functional theory data (GGA-PBEsol) for a relaxed KP2Se crystal.

Values from the calculation:
Calculated total energy   -17.347 eV for the cell shown

Unit cell a=3.552 b=3.552 c=8.006 alpha=77.18 beta=77.18 gamma=60.00
Fractional positions:
Se1 0.478 0.478 0.565
P1 0.026 0.026 0.921
P2 0.743 0.743 0.770
K1 0.252 0.252 0.245

Density functional theory data (GGA-PBEsol) for a relaxed SmAg2Hg crystal.

Values from the calculation:
Energy of formation   -0.30 eV/atom

Unit cell a=4.892 b=4.892 c=4.892 alpha=60.00 beta=60.00 gamma=60.00
Fractional positions:
Ag1 0.750 0.750 0.750
Ag2 0.250 0.250 0.250
Hg1 0.500 0.500 0.500
Sm1 0.000 0.000 0.000

Density functional theory data (GGA-PBEsol) for a relaxed FeMo2Se crystal.

Values from the calculation:
Calculated total energy   -35.088 eV for the cell shown

Unit cell a=3.072 b=4.217 c=4.329 alpha=90.00 beta=90.00 gamma=90.00
Last column: magnetic moment on the atom in μB.
Fractional positions:
Se1 0.500 0.000 0.500  -0.01
Fe1 0.000 0.500 0.500  0.74
Mo1 0.500 0.500 0.000  0.04
Mo2 0.000 0.000 0.000  -0.18

Density functional theory data (GGA-PBEsol) for a relaxed Li2FeMo crystal.

Values from the calculation:
Energy of formation   0.43 eV/atom
Offset from the most stable computed form   75 meV per atom

Unit cell a=2.589 b=2.589 c=9.606 alpha=82.26 beta=82.26 gamma=60.00
Last column: magnetic moment on the atom in μB.
Fractional positions:
Li1 0.254 0.254 0.238  -0.02
Li2 0.746 0.746 0.762  -0.02
Mo1 0.500 0.500 0.500  -0.01
Fe1 0.000 0.000 0.000  2.49

Density functional theory data (GGA-PBEsol) for a relaxed NbCoTc2Te crystal.

Values from the calculation:
Calculated total energy   -39.626 eV for the cell shown

Unit cell a=4.419 b=4.419 c=4.543 alpha=90.00 beta=90.00 gamma=90.00
Last column: magnetic moment on the atom in μB.
Fractional positions:
Tc1 0.500 0.000 0.000  0.06
Tc2 0.000 0.500 0.000  0.06
Co1 0.000 0.000 0.000  0.00
Te1 0.500 0.500 0.500  0.00
Nb1 0.000 0.000 0.500  0.00

Density functional theory data (GGA-PBEsol) for a relaxed TlTe2As crystal.

Values from the calculation:
Calculated total energy   -14.404 eV for the cell shown

Unit cell a=3.787 b=5.566 c=6.133 alpha=116.98 beta=107.98 gamma=90.00
Fractional positions:
Te1 0.976 0.976 0.951
Te2 0.728 0.228 0.457
Tl1 0.513 0.513 0.026
As1 0.283 0.783 0.566

Density functional theory data (GGA-PBEsol) for a relaxed Al3SBr crystal.

Values from the calculation:
Calculated total energy   -13.795 eV for the cell shown

Unit cell a=5.282 b=5.282 c=5.282 alpha=90.00 beta=90.00 gamma=90.00
Fractional positions:
Al1 0.500 0.000 0.000
Al2 0.000 0.500 0.000
Al3 0.000 0.000 0.500
S1 0.500 0.500 0.500
Br1 0.000 0.000 0.000

Density functional theory data (GGA-PBEsol) for a relaxed NpCdAu2 crystal.

Values from the calculation:
Energy of formation   -0.01 eV/atom

Unit cell a=4.874 b=4.874 c=4.874 alpha=60.00 beta=60.00 gamma=60.00
Last column: magnetic moment on the atom in μB.
Fractional positions:
Au1 0.250 0.250 0.250  0.01
Au2 0.750 0.750 0.750  0.01
Np1 0.000 0.000 0.000  3.69
Cd1 0.500 0.500 0.500  0.01

Density functional theory data (GGA-PBEsol) for a relaxed SrTc2Ag crystal.

Values from the calculation:
Energy of formation   0.89 eV/atom
Offset from the most stable computed form   454 meV per atom

Unit cell a=3.174 b=4.510 c=5.058 alpha=90.00 beta=90.00 gamma=90.00
Fractional positions:
Sr1 0.000 0.500 0.500
Ag1 0.500 0.000 0.500
Tc1 0.500 0.500 0.000
Tc2 0.000 0.000 0.000

Density functional theory data (GGA-PBEsol) for a relaxed SrMo2Pb crystal.

Values from the calculation:
Energy of formation   0.77 eV/atom

Unit cell a=3.695 b=3.695 c=6.901 alpha=90.00 beta=90.00 gamma=90.00
Fractional positions:
Mo1 0.000 0.000 0.833
Mo2 0.000 0.000 0.167
Pb1 0.500 0.500 0.000
Sr1 0.500 0.500 0.500

Density functional theory data (GGA-PBEsol) for a relaxed La3YO crystal.

Values from the calculation:
Calculated total energy   -34.004 eV for the cell shown

Unit cell a=5.092 b=5.092 c=5.092 alpha=90.00 beta=90.00 gamma=90.00
Fractional positions:
La1 0.500 0.000 0.000
La2 0.000 0.000 0.500
La3 0.000 0.500 0.000
Y1 0.500 0.500 0.500
O1 0.000 0.000 0.000